# 1
Entry from Alexandria: an optimized crystal structure of CaAlRu (PBE-GGA).

Calculated values
DOS at the Fermi energy = 1.47 states/eV per cell
formation energy from the elements = 0.096 eV per atom
E_tot = -14.7 eV for the cell shown

The structure in extended XYZ format:
```
3
Lattice="3.314 0.000 0.000 -1.657 2.870 0.000 0.000 0.000 6.431" Properties=species:S:1:pos:R:3 pbc="T T T"
Ru 0.000 1.913 4.486
Ca 1.657 0.957 2.320
Al 0.000 0.000 6.056
```

---

# 2
Entry from Alexandria: an optimized crystal structure of CaAl2Ru (PBE-GGA).

Calculated values
DOS at the Fermi energy = 2.32 states/eV per cell
formation energy from the elements = -0.064 eV per atom
E_tot = -19.0 eV for the cell shown

The structure in extended XYZ format:
```
4
Lattice="8.812 -0.054 -0.032 8.228 3.154 -0.032 8.228 1.497 2.776" Properties=species:S:1:pos:R:3 pbc="T T T"
Ru 18.951 3.448 2.034
Ca 6.317 1.149 0.678
Al 0.442 0.080 0.047
Al 12.192 2.218 1.309
```